1.
# TmAgPd6, optimized geometry, DFT PBE
# - Energy of formation from the pure elements: 0.03 eV per atom
# - ΔE to the lowest computed polymorph: 471 meV/atom
data_TmAgPd6
_symmetry_space_group_name_H-M 'R -3 m'
_symmetry_Int_Tables_number 166
_symmetry_space_group_name_Hall '-R 3 2"'
_cell_length_a 7.2973
_cell_length_b 7.2973
_cell_length_c 10.2314
_cell_angle_alpha 90.00
_cell_angle_beta 90.00
_cell_angle_gamma 120.00
loop_
_atom_site_label
_atom_site_fract_x
_atom_site_fract_y
_atom_site_fract_z
_atom_site_occupancy
Tm1 0.0000 0.0000 0.0000 1
Ag1 0.0000 0.0000 0.5000 1
Pd1 0.0852 0.5426 0.3822 1



2.
# TmAgPd4, optimized geometry, DFT PBE
# - Energy of formation from the pure elements: -0.52 eV per atom
# - ΔE to the lowest computed polymorph: 20 meV/atom
data_TmAgPd4
_symmetry_space_group_name_H-M 'F -4 3 m'
_symmetry_Int_Tables_number 216
_symmetry_space_group_name_Hall 'F -4 2 3'
_cell_length_a 7.525
_cell_length_b 7.525
_cell_length_c 7.525
_cell_angle_alpha 90.00
_cell_angle_beta 90.00
_cell_angle_gamma 90.00
loop_
_atom_site_label
_atom_site_fract_x
_atom_site_fract_y
_atom_site_fract_z
_atom_site_occupancy
Tm1 0.000 0.000 0.000 1
Ag1 0.250 0.250 0.750 1
Pd1 0.125 0.125 0.375 1



- Among the records above, which one has the highest ΔE to the lowest computed polymorph?
  TmAgPd6



- Among the records above, which one has the highest ΔE to the lowest computed polymorph?
  TmAgPd6



- The lowest energy of formation from the pure elements belongs to which entry?
  TmAgPd4



- What is the energy of formation from the pure elements in the first record?
  0.03 eV per atom